A relaxed Sr2Sb3Pt4 crystal, computed with GGA-PBE.

Summary:
Formation energy from raw total energies = -718 meV/atom
Energy = -5.15 eV per atom
Crystal system = orthorhombic

Unit cell a=8.7928 b=8.7928 c=7.5745 alpha=90.00 beta=90.00 gamma=136.46
Last column: nearest neighbours and their distance in Å.
Atoms (fractional coordinates):
1 Sr 0.0997 0.9003 0.9080  5 Pt 3.10-3.43, 2 Sb 3.32
2 Sr 0.4003 0.5997 0.4080  5 Pt 3.10-3.43, 2 Sb 3.32
3 Sr 0.5997 0.4003 0.5920  5 Pt 3.10-3.43, 2 Sb 3.32
4 Sr 0.9003 0.0997 0.0920  5 Pt 3.10-3.43, 2 Sb 3.32
5 Sb 0.0000 0.0000 0.5000  6 Pt 2.75-2.82
6 Sb 0.0109 0.4891 0.7500  5 Pt 2.76-2.82
7 Sb 0.4891 0.0109 0.2500  5 Pt 2.76-2.82
8 Sb 0.5000 0.5000 0.0000  6 Pt 2.75-2.82
9 Sb 0.5109 0.9891 0.7500  5 Pt 2.76-2.82
10 Sb 0.9891 0.5109 0.2500  5 Pt 2.76-2.82
11 Pt 0.1728 0.8272 0.5129  5 Sb 2.79-2.82, 2 Pt 3.07
12 Pt 0.1801 0.3199 0.7500  3 Sb 2.75-2.76, 2 Pt 3.07
13 Pt 0.3199 0.1801 0.2500  3 Sb 2.75-2.76, 2 Pt 3.07
14 Pt 0.3272 0.6728 0.0129  5 Sb 2.79-2.82, 2 Pt 3.07
15 Pt 0.6728 0.3272 0.9871  5 Sb 2.79-2.82, 2 Pt 3.07
16 Pt 0.6801 0.8199 0.7500  3 Sb 2.75-2.76, 2 Pt 3.07
17 Pt 0.8199 0.6801 0.2500  3 Sb 2.75-2.76, 2 Pt 3.07
18 Pt 0.8272 0.1728 0.4871  5 Sb 2.79-2.82, 2 Pt 3.07

---

A relaxed SnSbRh4 crystal, computed with GGA-PBE.

Summary:
Formation energy from raw total energies = -347 meV/atom
Energy = -6.60 eV per atom
Crystal system = orthorhombic

Unit cell a=6.8175 b=6.8175 c=7.4052 alpha=90.00 beta=90.00 gamma=145.32
Last column: nearest neighbours and their distance in Å.
Atoms (fractional coordinates):
1 Sn 0.0169 0.9831 0.7500  10 Rh 2.73-2.81
2 Sn 0.9831 0.0169 0.2500  10 Rh 2.73-2.81
3 Sb 0.2997 0.7003 0.7500  8 Rh 2.64-2.78
4 Sb 0.7003 0.2997 0.2500  8 Rh 2.64-2.78
5 Rh 0.1602 0.8398 0.0343  3 Sb 2.64-2.78, 2 Sn 2.80-2.81, 5 Rh 2.86-2.93
6 Rh 0.1602 0.8398 0.4657  3 Sb 2.64-2.78, 2 Sn 2.80-2.81, 5 Rh 2.86-2.93
7 Rh 0.3429 0.6571 0.2500  2 Sn 2.73, 2 Sb 2.75, 8 Rh 2.76-2.93
8 Rh 0.5000 0.5000 0.0000  4 Sn 2.76, 6 Rh 2.76-2.92
9 Rh 0.5000 0.5000 0.5000  4 Sn 2.76, 6 Rh 2.76-2.92
10 Rh 0.6571 0.3429 0.7500  2 Sn 2.73, 2 Sb 2.75, 8 Rh 2.76-2.93
11 Rh 0.8398 0.1602 0.5343  3 Sb 2.64-2.78, 2 Sn 2.80-2.81, 5 Rh 2.86-2.93
12 Rh 0.8398 0.1602 0.9657  3 Sb 2.64-2.78, 2 Sn 2.80-2.81, 5 Rh 2.86-2.93

---

A relaxed TbPr2Dy4 crystal, computed with GGA-PBE.

Summary:
Energy above the most stable polymorph in this dataset = 0 meV per atom
Energy of formation = 11 meV/atom
Energy = -4.65 eV per atom
Crystal system = trigonal

Unit cell a=3.6160 b=3.6160 c=20.3323 alpha=90.00 beta=90.00 gamma=120.00
Last column: nearest neighbours and their distance in Å.
Atoms (fractional coordinates):
1 Tb 0.0000 0.0000 0.0000  6 Dy 3.52-3.55, 6 Tb 3.62
2 Pr 0.0000 0.0000 0.4274  6 Dy 3.61-3.65, 6 Pr 3.62
3 Pr 0.0000 0.0000 0.7161  6 Dy 3.59-3.60, 6 Pr 3.62
4 Dy 0.3333 0.6667 0.2803  9 Dy 3.52-3.62, 3 Pr 3.65
5 Dy 0.3333 0.6667 0.5725  6 Pr 3.59-3.61, 6 Dy 3.62
6 Dy 0.6667 0.3333 0.1412  9 Dy 3.52-3.62, 3 Tb 3.55
7 Dy 0.6667 0.3333 0.8605  3 Tb 3.52, 3 Pr 3.60, 6 Dy 3.62

---

> Which of these has the highest energy?

TbPr2Dy4

---

> What is the energy in the second record?

-6.60 eV per atom